(1)
A relaxed Gd3Nb2Au3 crystal. Source: OQMD, functional GGA-PBE.

Cell: 4.3520 4.3520 12.2022 Å, 90.00 90.00 90.00°
Last column: nearest neighbours and their distance in Å.
Atoms (fractional coordinates):
Gd (0.0000, 0.0000, 0.5000)  4 Au 3.08
Au (0.5000, 0.5000, 0.7139)  2 Nb 2.55, 1 Au 2.61
Nb (0.5000, 0.0000, 0.1773)  2 Au 2.55
Au (0.5000, 0.5000, 0.2861)  2 Nb 2.55, 1 Au 2.61
Gd (0.5000, 0.5000, 0.0000)  4 Nb 3.07, 4 Gd 3.08
Gd (0.0000, 0.0000, 0.0000)  4 Nb 3.07, 4 Gd 3.08
Nb (0.0000, 0.5000, 0.8227)  2 Au 2.55
Au (0.5000, 0.5000, 0.5000)  2 Au 2.61

Properties
The calculation puts the calculated total energy at -4.804 eV/atom. The value obtained for the energy of formation from the pure elements is 690 meV/atom. The space group is No. 115.

(2)
A relaxed NdGd3Au4 crystal. Source: OQMD, functional GGA-PBE.

Cell: 5.7346 4.7546 7.3004 Å, 90.00 90.85 90.00°
Last column: nearest neighbours and their distance in Å.
Atoms (fractional coordinates):
Nd (0.6468, 0.0000, 0.1863)  7 Au 3.02-3.17
Au (0.1525, 0.0000, 0.0379)  2 Au 3.00, 2 Nd 3.02-3.11, 5 Gd 3.08-3.13
Au (0.3430, 0.0000, 0.5443)  6 Gd 2.99-3.11, 2 Au 3.03, 1 Nd 3.16
Gd (0.1447, 0.5000, 0.3160)  7 Au 3.04-3.13
Gd (0.3530, 0.5000, 0.8129)  7 Au 3.02-3.12
Au (0.8512, 0.5000, 0.9514)  2 Au 3.00, 5 Gd 3.02-3.13, 2 Nd 3.17
Gd (0.8546, 0.0000, 0.6839)  7 Au 2.99-3.09
Au (0.6541, 0.5000, 0.4673)  2 Au 3.03, 5 Gd 3.04-3.11, 2 Nd 3.14

Properties
The calculation puts the calculated total energy at -4.824 eV/atom. The value obtained for the energy of formation from the pure elements is -850 meV/atom. The space group is No. 6.

(3)
A relaxed Nd3GdAu4 crystal. Source: OQMD, functional GGA-PBE.

Cell: 5.8290 4.7963 7.4125 Å, 90.00 90.83 90.00°
Last column: nearest neighbours and their distance in Å.
Atoms (fractional coordinates):
Au (0.8451, 0.5000, 0.0328)  2 Au 3.05, 5 Nd 3.07-3.18, 2 Gd 3.11
Nd (0.3573, 0.5000, 0.1830)  7 Au 3.07-3.18
Au (0.3539, 0.0000, 0.4637)  2 Au 3.01, 1 Gd 3.09, 6 Nd 3.09-3.18
Au (0.1508, 0.0000, 0.9559)  2 Au 3.05, 2 Gd 3.07-3.12, 5 Nd 3.12-3.18
Gd (0.6436, 0.0000, 0.8155)  7 Au 3.07-3.12
Nd (0.1450, 0.5000, 0.6862)  7 Au 3.05-3.16
Nd (0.8558, 0.0000, 0.3136)  7 Au 3.09-3.21
Au (0.6486, 0.5000, 0.5494)  2 Au 3.01, 5 Nd 3.05-3.21, 2 Gd 3.11

Properties
The calculation puts the calculated total energy at -4.826 eV/atom. The value obtained for the energy of formation from the pure elements is -825 meV/atom. The space group is No. 6.

(4)
A relaxed NdGd2AuO6 crystal. Source: OQMD, functional GGA-PBE.

Cell: 3.7213 5.6254 6.9535 Å, 91.30 103.70 91.22°
Last column: nearest neighbours and their distance in Å.
Atoms (fractional coordinates):
Nd (0.0000, 0.0000, 0.5000)  6 O 2.37-2.41
Gd (0.6149, 0.5260, 0.7665)  6 O 2.22-2.39
O (0.4854, 0.7395, 0.4828)  2 Gd 2.22-2.29, 2 Nd 2.37
Au (0.0000, 0.0000, 0.0000)  4 O 2.01-2.04
O (0.1561, 0.2990, 0.8758)  1 Au 2.04
Gd (0.3851, 0.4740, 0.2335)  6 O 2.22-2.39
O (0.1387, 0.7783, 0.7998)  1 Au 2.01
O (0.8439, 0.7010, 0.1242)  1 Au 2.04
O (0.8613, 0.2217, 0.2003)  1 Au 2.01
O (0.5146, 0.2605, 0.5172)  2 Gd 2.22-2.29, 2 Nd 2.37

Properties
The calculation puts the calculated total energy at -7.377 eV/atom. The space group is No. 2.

(5)
A relaxed Nd2GdAuO6 crystal. Source: OQMD, functional GGA-PBE.

Cell: 3.6974 5.6480 7.1676 Å, 89.93 77.06 89.02°
Last column: nearest neighbours and their distance in Å.
Atoms (fractional coordinates):
O (0.5182, 0.7499, 0.4761)  2 Nd 2.30-2.37, 2 Gd 2.33-2.34
Nd (0.6088, 0.4707, 0.2354)  6 O 2.30-2.42
Gd (0.0000, 0.0000, 0.5000)  6 O 2.31-2.34
O (0.8713, 0.8034, 0.7902)  1 Au 2.02
Nd (0.3912, 0.5293, 0.7646)  6 O 2.30-2.42
Au (0.0000, 0.0000, 0.0000)  4 O 2.02-2.03
O (0.1618, 0.6955, 0.1119)  1 Au 2.03
O (0.8382, 0.3045, 0.8881)  1 Au 2.03
O (0.1287, 0.1966, 0.2098)  1 Au 2.02
O (0.4818, 0.2501, 0.5239)  2 Nd 2.30-2.37, 2 Gd 2.33-2.34

Properties
The calculation puts the calculated total energy at -7.353 eV/atom. The space group is No. 2.

(6)
A relaxed Nd2GdZn3Pd2Au crystal. Source: OQMD, functional GGA-PBE.

Cell: 3.9465 7.4840 7.4840 Å, 119.98 90.00 90.00°
Last column: nearest neighbours and their distance in Å.
Atoms (fractional coordinates):
Zn (0.5000, 0.7431, 0.7431)  2 Au 2.78, 2 Pd 2.80
Au (0.0000, 0.0046, 0.0046)  6 Zn 2.73-2.78, 1 Gd 3.02
Nd (0.0000, 0.0002, 0.5905)  4 Pd 3.02, 1 Au 3.08, 6 Zn 3.19-3.34
Pd (0.5000, 0.3347, 0.6612)  3 Zn 2.80-2.89, 2 Gd 2.97, 4 Nd 3.02
Nd (0.0000, 0.5905, 0.0002)  4 Pd 3.02, 1 Au 3.08, 6 Zn 3.19-3.34
Pd (0.5000, 0.6612, 0.3347)  3 Zn 2.80-2.89, 2 Gd 2.97, 4 Nd 3.02
Zn (0.5000, 0.2559, 0.0022)  2 Au 2.73, 2 Pd 2.80-2.89
Gd (0.0000, 0.4076, 0.4076)  4 Pd 2.97, 1 Au 3.02, 6 Zn 3.19-3.31
Zn (0.5000, 0.0022, 0.2559)  2 Au 2.73, 2 Pd 2.80-2.89

Properties
The calculation puts the calculated total energy at -4.199 eV/atom. The value obtained for the energy of formation from the pure elements is -689 meV/atom. The space group is No. 38.